(1)
The following is a GGA-PBE calculation of a relaxed Mg2HPd4 crystal, from the Alexandria database.

Lattice parameters (Å, degrees): 3.9103 3.9103 7.2488 74.35 74.35 90.00
Sites, in units of the cell vectors:
Mg1 0.6454 0.6454 0.7093
Mg2 0.3546 0.3546 0.2907
Pd1 0.0000 0.5000 0.0000
Pd2 0.1618 0.1618 0.6764
Pd3 0.5000 0.0000 0.0000
Pd4 0.8382 0.8382 0.3236
H1 0.0000 0.0000 0.0000

Output
final energy = -4.33 eV per atom
ρ = 7.7 g/cm³


(2)
The following is a GGA-PBE calculation of a relaxed Ce2SmAg2Sn2 crystal, from the Alexandria database.

Lattice parameters (Å, degrees): 4.7264 4.7264 9.5220 75.63 75.63 60.00
Sites, in units of the cell vectors:
Sn1 0.2672 0.2672 0.1985
Sn2 0.7328 0.7328 0.8015
Ce1 0.1436 0.1436 0.5692
Ce2 0.8564 0.8564 0.4308
Sm1 0.0000 0.0000 0.0000
Ag1 0.4207 0.4207 0.7379
Ag2 0.5793 0.5793 0.2621

Output
final energy = -4.71 eV per atom
ρ = 8.3 g/cm³
energy of formation = -0.3778 eV/atom


(3)
The following is a GGA-PBE calculation of a relaxed Na2Ge2Pd3 crystal, from the Alexandria database.

Lattice parameters (Å, degrees): 3.7755 5.7035 7.3548 114.91 90.00 109.33
Sites, in units of the cell vectors:
Ge1 0.1443 0.2887 0.2327
Ge2 0.8557 0.7113 0.7673
Na1 0.1338 0.2676 0.7752
Na2 0.8662 0.7324 0.2248
Pd1 0.5000 0.0000 0.0000
Pd2 0.3696 0.7391 0.5556
Pd3 0.6304 0.2609 0.4444

Output
final energy = -4.29 eV per atom
ρ = 6.3 g/cm³
energy of formation = -0.3723 eV/atom


Q: final energy of number 2 (Ce2SmAg2Sn2)?
A: -4.71 eV per atom


Q: Which value of final energy does entry 2 give?
A: -4.71 eV per atom


Q: ρ of number 2 (Ce2SmAg2Sn2)?
A: 8.3 g/cm³


Q: Among the records above, which one has the lowest ρ?
A: Na2Ge2Pd3